## Al2Re (PBE)

Data for a relaxed structure of Al2Re.

Calculated values
The calculation puts the uncorrected energy at -6.662 eV per atom.

Lattice parameters (Å, degrees): 9.550 9.550 4.905 90.00 90.00 90.00
Space group P4_2/mnm (No. 136)
Symmetry-distinct sites (fractional):
Al: 0.054 0.263 0.000
Al: 0.102 0.102 0.500
Al: 0.183 0.817 0.251
Re: 0.000 0.000 0.000
Re: 0.021 0.365 0.500